First-principles (PBE-GGA) data for RbFeBIr2 after structural relaxation, as listed in Alexandria.

Results
E_form	2126.4	meV per atom
uncorrected energy	-4.6395	eV/atom
total magnetic moment	0.7	μB per formula unit

Lattice parameters (Å, degrees): 4.468 4.468 5.676 90.00 90.00 90.00
Positions (direct):
Rb 0.000 0.000 0.000
Fe 0.000 0.000 0.500
B 0.500 0.500 0.000
Ir 0.000 0.500 0.500
Ir 0.500 0.000 0.500


First-principles (PBE-GGA) data for FeReBIr2 after structural relaxation, as listed in Alexandria.

Results
E_form	324.9	meV per atom
uncorrected energy	-8.7372	eV/atom
total magnetic moment	3.3	μB per formula unit

Lattice parameters (Å, degrees): 4.032 4.032 4.023 90.00 90.00 90.00
Positions (direct):
Fe 0.000 0.000 0.000
Re 0.500 0.500 0.000
B 0.000 0.000 0.500
Ir 0.000 0.500 0.500
Ir 0.500 0.000 0.500


First-principles (PBE-GGA) data for ScFeBIr2 after structural relaxation, as listed in Alexandria.

Results
E_form	-531.1	meV per atom
uncorrected energy	-8.3698	eV/atom
total magnetic moment	2.0	μB per formula unit

Lattice parameters (Å, degrees): 4.133 4.133 3.996 90.00 90.00 90.00
Positions (direct):
Sc 0.000 0.000 0.000
Fe 0.500 0.500 0.000
B 0.500 0.500 0.500
Ir 0.000 0.500 0.500
Ir 0.500 0.000 0.500


First-principles (PBE-GGA) data for Fe2SnBIr after structural relaxation, as listed in Alexandria.

Results
E_form	-17.3	meV per atom
uncorrected energy	-7.3106	eV/atom
total magnetic moment	2.3	μB per formula unit

Lattice parameters (Å, degrees): 3.935 3.935 4.151 90.00 90.00 90.00
Positions (direct):
Fe 0.000 0.500 0.000
Fe 0.500 0.000 0.000
Sn 0.000 0.000 0.500
B 0.500 0.500 0.000
Ir 0.500 0.500 0.500